1.
The following is a DFT calculation (PBE-GGA) of crystalline Nd2Zn5Au3 at its relaxed geometry.

Unit cell a=8.763 b=8.763 c=8.763 alpha=96.72 beta=96.63 gamma=140.14
Element x y z (fractional)
Nd 0.124 0.244 0.368
Nd 0.376 0.744 0.119
Nd 0.624 0.256 0.881
Nd 0.876 0.756 0.632
Zn 0.005 0.750 0.255
Zn 0.132 0.869 0.001
Zn 0.250 0.750 0.500
Zn 0.368 0.369 0.737
Zn 0.495 0.750 0.745
Zn 0.505 0.250 0.255
Zn 0.632 0.631 0.263
Zn 0.750 0.250 0.500
Zn 0.868 0.131 0.999
Zn 0.995 0.250 0.745
Au 0.122 0.647 0.769
Au 0.250 0.250 0.000
Au 0.378 0.147 0.525
Au 0.622 0.853 0.475
Au 0.750 0.750 0.000
Au 0.878 0.353 0.231

## Properties
Its volume is 405.38 Å³ per cell. The value obtained for the formation energy from the elements is -0.477 eV/atom.

***

2.
The following is a DFT calculation (PBE-GGA) of crystalline NdZn12Au4 at its relaxed geometry.

Unit cell a=7.676 b=7.676 c=7.676 alpha=109.47 beta=109.47 gamma=109.47
Element x y z (fractional)
Nd 0.000 0.000 0.000
Zn 0.146 0.356 0.503
Zn 0.146 0.644 0.790
Zn 0.210 0.854 0.356
Zn 0.356 0.210 0.854
Zn 0.356 0.503 0.146
Zn 0.497 0.854 0.644
Zn 0.503 0.146 0.356
Zn 0.644 0.497 0.854
Zn 0.644 0.790 0.146
Zn 0.790 0.146 0.644
Zn 0.854 0.356 0.210
Zn 0.854 0.644 0.497
Au 0.000 0.000 0.500
Au 0.000 0.500 0.000
Au 0.500 0.000 0.000
Au 0.500 0.500 0.500

## Properties
Its volume is 348.20 Å³ per cell. The value obtained for the formation energy from the elements is -0.006 eV/atom.

***

3.
The following is a DFT calculation (PBE-GGA) of crystalline NdZn3Au10 at its relaxed geometry.

Unit cell a=9.207 b=9.207 c=9.207 alpha=60.00 beta=60.00 gamma=60.00
Element x y z (fractional)
Nd 0.250 0.250 0.250
Nd 0.750 0.750 0.750
Zn 0.234 0.234 0.766
Zn 0.234 0.766 0.234
Zn 0.234 0.766 0.766
Zn 0.766 0.234 0.234
Zn 0.766 0.234 0.766
Zn 0.766 0.766 0.234
Au 0.116 0.116 0.116
Au 0.116 0.116 0.651
Au 0.116 0.651 0.116
Au 0.153 0.500 0.500
Au 0.153 0.500 0.847
Au 0.153 0.847 0.500
Au 0.349 0.884 0.884
Au 0.500 0.153 0.500
Au 0.500 0.153 0.847
Au 0.500 0.500 0.153
Au 0.500 0.500 0.847
Au 0.500 0.847 0.153
Au 0.500 0.847 0.500
Au 0.651 0.116 0.116
Au 0.847 0.153 0.500
Au 0.847 0.500 0.153
Au 0.847 0.500 0.500
Au 0.884 0.349 0.884
Au 0.884 0.884 0.349
Au 0.884 0.884 0.884

## Properties
Its volume is 551.86 Å³ per cell. The value obtained for the formation energy from the elements is -0.170 eV/atom.

***

4.
The following is a DFT calculation (PBE-GGA) of crystalline Nd6ZnAu5 at its relaxed geometry.

Unit cell a=5.258 b=7.387 c=8.353 alpha=90.00 beta=108.44 gamma=90.00
Element x y z (fractional)
Nd 0.000 0.245 0.000
Nd 0.000 0.755 0.000
Nd 0.332 0.251 0.664
Nd 0.332 0.749 0.664
Nd 0.668 0.251 0.336
Nd 0.668 0.749 0.336
Zn 0.500 0.500 0.000
Au 0.155 0.500 0.313
Au 0.168 0.000 0.337
Au 0.500 0.000 0.000
Au 0.832 0.000 0.663
Au 0.845 0.500 0.687

## Properties
Its volume is 307.78 Å³ per cell. The value obtained for the formation energy from the elements is -0.688 eV/atom.

***

5.
The following is a DFT calculation (PBE-GGA) of crystalline Nd3Zn3Au8 at its relaxed geometry.

Unit cell a=8.474 b=8.474 c=9.078 alpha=121.56 beta=121.56 gamma=32.24
Element x y z (fractional)
Nd 0.000 0.000 0.000
Nd 0.294 0.294 0.280
Nd 0.706 0.706 0.720
Zn 0.000 0.000 0.500
Zn 0.331 0.331 0.670
Zn 0.669 0.669 0.330
Au 0.130 0.130 0.841
Au 0.137 0.137 0.424
Au 0.347 0.347 0.965
Au 0.495 0.495 0.670
Au 0.505 0.505 0.330
Au 0.653 0.653 0.035
Au 0.863 0.863 0.576
Au 0.870 0.870 0.159

## Properties
Its volume is 291.64 Å³ per cell. The value obtained for the formation energy from the elements is -0.599 eV/atom.

***

6.
The following is a DFT calculation (PBE-GGA) of crystalline NdZn7Au12 at its relaxed geometry.

Unit cell a=8.291 b=8.291 c=8.291 alpha=109.47 beta=109.47 gamma=109.47
Element x y z (fractional)
Nd 0.000 0.000 0.000
Zn 0.000 0.000 0.500
Zn 0.000 0.500 0.000
Zn 0.000 0.500 0.500
Zn 0.500 0.000 0.000
Zn 0.500 0.000 0.500
Zn 0.500 0.500 0.000
Zn 0.500 0.500 0.500
Au 0.126 0.283 0.842
Au 0.158 0.441 0.283
Au 0.158 0.874 0.717
Au 0.283 0.158 0.441
Au 0.283 0.842 0.126
Au 0.441 0.283 0.158
Au 0.559 0.717 0.842
Au 0.717 0.158 0.874
Au 0.717 0.842 0.559
Au 0.842 0.126 0.283
Au 0.842 0.559 0.717
Au 0.874 0.717 0.158

## Properties
Its volume is 438.74 Å³ per cell. The value obtained for the formation energy from the elements is -0.031 eV/atom.

***

7.
The following is a DFT calculation (PBE-GGA) of crystalline Nd3Zn2Au3 at its relaxed geometry.

Unit cell a=5.856 b=5.856 c=15.245 alpha=90.00 beta=90.00 gamma=134.11
Element x y z (fractional)
Nd 0.089 0.911 0.602
Nd 0.089 0.911 0.898
Nd 0.371 0.629 0.750
Nd 0.629 0.371 0.250
Nd 0.911 0.089 0.102
Nd 0.911 0.089 0.398
Zn 0.210 0.790 0.099
Zn 0.210 0.790 0.401
Zn 0.790 0.210 0.599
Zn 0.790 0.210 0.901
Au 0.342 0.658 0.250
Au 0.384 0.616 0.546
Au 0.384 0.616 0.954
Au 0.616 0.384 0.046
Au 0.616 0.384 0.454
Au 0.658 0.342 0.750

## Properties
Its volume is 375.40 Å³ per cell. The value obtained for the formation energy from the elements is -0.654 eV/atom.

***

8.
The following is a DFT calculation (PBE-GGA) of crystalline NdZn3Au9 at its relaxed geometry.

Unit cell a=7.245 b=7.245 c=7.013 alpha=96.75 beta=96.75 gamma=136.35
Element x y z (fractional)
Nd 0.000 0.000 0.000
Zn 0.000 0.500 0.000
Zn 0.500 0.000 0.000
Zn 0.500 0.500 0.500
Au 0.000 0.000 0.500
Au 0.038 0.683 0.668
Au 0.311 0.527 0.787
Au 0.317 0.962 0.332
Au 0.473 0.689 0.213
Au 0.527 0.311 0.787
Au 0.683 0.038 0.668
Au 0.689 0.473 0.213
Au 0.962 0.317 0.332

## Properties
Its volume is 241.04 Å³ per cell. The value obtained for the formation energy from the elements is -0.328 eV/atom.